The following is a DFT calculation (PBE-GGA) of a relaxed PmYSiPd crystal.

```
PmYSiPd
1.0
4.258 0.000 0.000
0.000 2.031 5.437
0.000 -2.031 5.437
Pm Y Si Pd
1 1 1 1
direct
0.000 0.000 0.000
0.500 0.721 0.721
0.500 0.433 0.433
0.000 0.284 0.284
```

Computed properties:
VASP energy   -6.27 eV/atom
Excess energy over the best structure of this formula in the dataset   0 meV per atom
Symmetry   Amm2, No. 38
Raw formation energy   -3.23 eV/f.u.

---

The following is a DFT calculation (PBE-GGA) of a relaxed PmZn2SiPd4 crystal.

```
PmZn2SiPd4
1.0
2.167 1.251 8.455
-2.167 1.251 8.455
0.000 -2.503 8.455
Pm Zn Si Pd
1 2 1 4
direct
0.000 0.000 0.000
0.246 0.246 0.246
0.754 0.754 0.754
0.500 0.500 0.500
0.137 0.137 0.137
0.405 0.405 0.405
0.595 0.595 0.595
0.863 0.863 0.863
```

Computed properties:
VASP energy   -4.79 eV/atom
Symmetry   R-3m, No. 166
Raw formation energy   -4.86 eV/f.u.